The following is a PBE calculation of an optimized crystal structure of TlHg2PbF8, from Alexandria via LeMat-Bulk.

abc: 5.782 5.782 7.066
angles: 114.15 114.15 90.00
Fractional positions:
Hg1 0.500 0.500 0.000
F1 0.877 0.865 0.245
F2 0.620 0.123 0.755
Hg2 0.250 0.750 0.500
F3 0.135 0.122 0.754
F4 0.135 0.632 0.755
Tl1 0.000 0.000 0.000
F5 0.368 0.865 0.246
F6 0.878 0.380 0.246
F7 0.620 0.632 0.754
Pb1 0.750 0.250 0.500
F8 0.368 0.380 0.245

Output
For the total magnetization, the calculation gives 0.000 μB per formula unit. The uncorrected formation energy is -1.741 eV/atom. For the final energy, the calculation gives -3.54 eV/atom.